First-principles (PBE) data for an optimized crystal structure of Li7CaPd4, as listed in the Alexandria database.

Values from the calculation:
energy of formation from the pure elements: -0.23 eV/atom
total DFT energy (no corrections): -3.246 eV/atom
symmetry: C2/m (12)

abc: 6.439 6.439 8.874
angles: 122.76 122.76 42.82
Positions (direct):
Li (0.000, 0.000, 0.000)
Li (0.174, 0.174, 0.606)
Li (0.280, 0.280, 0.130)
Li (0.440, 0.440, 0.608)
Li (0.560, 0.560, 0.392)
Li (0.720, 0.720, 0.870)
Li (0.826, 0.826, 0.394)
Ca (0.500, 0.500, 0.000)
Pd (0.075, 0.075, 0.791)
Pd (0.188, 0.188, 0.333)
Pd (0.812, 0.812, 0.667)
Pd (0.925, 0.925, 0.209)

---

First-principles (PBE) data for an optimized crystal structure of LiCa3Pd8, as listed in the Alexandria database.

Values from the calculation:
energy of formation from the pure elements: -0.61 eV/atom
total DFT energy (no corrections): -4.731 eV/atom
symmetry: R3m (160)

abc: 9.374 9.374 9.374
angles: 33.62 33.62 33.62
Positions (direct):
Li (0.000, 0.000, 0.000)
Ca (0.365, 0.365, 0.365)
Ca (0.494, 0.494, 0.494)
Ca (0.877, 0.877, 0.877)
Pd (0.183, 0.183, 0.183)
Pd (0.432, 0.932, 0.932)
Pd (0.433, 0.433, 0.932)
Pd (0.433, 0.932, 0.433)
Pd (0.682, 0.682, 0.682)
Pd (0.932, 0.432, 0.932)
Pd (0.932, 0.433, 0.433)
Pd (0.932, 0.932, 0.432)

---

First-principles (PBE) data for an optimized crystal structure of Li6CaPd2, as listed in the Alexandria database.

Values from the calculation:
energy of formation from the pure elements: -0.25 eV/atom
total DFT energy (no corrections): -2.905 eV/atom
symmetry: P4/mmm (123)

abc: 4.208 4.208 9.603
angles: 90.00 90.00 90.00
Positions (direct):
Li (0.000, 0.000, 0.000)
Li (0.000, 0.500, 0.217)
Li (0.000, 0.500, 0.783)
Li (0.500, 0.000, 0.217)
Li (0.500, 0.000, 0.783)
Li (0.500, 0.500, 0.000)
Ca (0.000, 0.000, 0.500)
Pd (0.500, 0.500, 0.363)
Pd (0.500, 0.500, 0.637)

---

First-principles (PBE) data for an optimized crystal structure of LiCa2Pd3, as listed in the Alexandria database.

Values from the calculation:
energy of formation from the pure elements: -0.65 eV/atom
total DFT energy (no corrections): -4.228 eV/atom
symmetry: R-3m (166)

abc: 5.287 5.287 5.287
angles: 64.39 64.39 64.39
Positions (direct):
Li (0.000, 0.000, 0.000)
Ca (0.374, 0.374, 0.374)
Ca (0.626, 0.626, 0.626)
Pd (0.000, 0.000, 0.500)
Pd (0.000, 0.500, 0.000)
Pd (0.500, 0.000, 0.000)

---

First-principles (PBE) data for an optimized crystal structure of LiCa4Pd3, as listed in the Alexandria database.

Values from the calculation:
energy of formation from the pure elements: -0.55 eV/atom
total DFT energy (no corrections): -3.740 eV/atom
symmetry: I4/mcm (140)

abc: 8.591 8.591 8.591
angles: 96.33 96.33 141.20
Positions (direct):
Li (0.250, 0.750, 0.500)
Li (0.750, 0.250, 0.500)
Ca (0.083, 0.782, 0.865)
Ca (0.218, 0.083, 0.301)
Ca (0.282, 0.583, 0.865)
Ca (0.417, 0.282, 0.699)
Ca (0.583, 0.718, 0.301)
Ca (0.718, 0.417, 0.135)
Ca (0.782, 0.917, 0.699)
Ca (0.917, 0.218, 0.135)
Pd (0.156, 0.344, 0.500)
Pd (0.250, 0.250, 0.000)
Pd (0.344, 0.844, 0.189)
Pd (0.656, 0.156, 0.811)
Pd (0.750, 0.750, 0.000)
Pd (0.844, 0.656, 0.500)

---

First-principles (PBE) data for an optimized crystal structure of LiCaPd3, as listed in the Alexandria database.

Values from the calculation:
energy of formation from the pure elements: -0.39 eV/atom
relative energy among the computed polymorphs: 0 meV/atom
total DFT energy (no corrections): -4.293 eV/atom
symmetry: P2_1/m (11)

abc: 5.793 5.907 5.802
angles: 90.00 114.25 90.00
Positions (direct):
Li (0.072, 0.250, 0.429)
Li (0.928, 0.750, 0.571)
Ca (0.251, 0.750, 0.250)
Ca (0.749, 0.250, 0.750)
Pd (0.282, 0.000, 0.782)
Pd (0.282, 0.500, 0.782)
Pd (0.313, 0.250, 0.187)
Pd (0.687, 0.750, 0.813)
Pd (0.718, 0.000, 0.218)
Pd (0.718, 0.500, 0.218)

---

First-principles (PBE) data for an optimized crystal structure of Li17Ca2Pd3, as listed in the Alexandria database.

Values from the calculation:
energy of formation from the pure elements: -0.09 eV/atom
total DFT energy (no corrections): -2.459 eV/atom
symmetry: R-3m (166)

abc: 7.729 7.729 7.729
angles: 82.93 82.93 82.93
Positions (direct):
Li (0.000, 0.000, 0.500)
Li (0.000, 0.266, 0.734)
Li (0.000, 0.500, 0.000)
Li (0.000, 0.734, 0.266)
Li (0.096, 0.096, 0.096)
Li (0.183, 0.662, 0.662)
Li (0.266, 0.000, 0.734)
Li (0.266, 0.734, 0.000)
Li (0.338, 0.338, 0.817)
Li (0.338, 0.817, 0.338)
Li (0.500, 0.000, 0.000)
Li (0.662, 0.183, 0.662)
Li (0.662, 0.662, 0.183)
Li (0.734, 0.000, 0.266)
Li (0.734, 0.266, 0.000)
Li (0.817, 0.338, 0.338)
Li (0.904, 0.904, 0.904)
Ca (0.331, 0.331, 0.331)
Ca (0.669, 0.669, 0.669)
Pd (0.000, 0.500, 0.500)
Pd (0.500, 0.000, 0.500)
Pd (0.500, 0.500, 0.000)

---

First-principles (PBE) data for an optimized crystal structure of Li2Ca4Pd, as listed in the Alexandria database.

Values from the calculation:
energy of formation from the pure elements: -0.10 eV/atom
total DFT energy (no corrections): -2.528 eV/atom
symmetry: I4/mmm (139)

abc: 9.113 9.113 9.113
angles: 144.72 144.72 50.75
Positions (direct):
Li (0.121, 0.121, 0.000)
Li (0.879, 0.879, 0.000)
Ca (0.000, 0.500, 0.500)
Ca (0.324, 0.324, 0.000)
Ca (0.500, 0.000, 0.500)
Ca (0.676, 0.676, 0.000)
Pd (0.500, 0.500, 0.000)

---

First-principles (PBE) data for an optimized crystal structure of Li2Ca3Pd3, as listed in the Alexandria database.

Values from the calculation:
energy of formation from the pure elements: -0.44 eV/atom
total DFT energy (no corrections): -3.618 eV/atom
symmetry: Cmcm (63)

abc: 5.723 5.723 13.961
angles: 90.00 90.00 132.65
Positions (direct):
Li (0.159, 0.841, 0.663)
Li (0.159, 0.841, 0.837)
Li (0.841, 0.159, 0.163)
Li (0.841, 0.159, 0.337)
Ca (0.359, 0.641, 0.039)
Ca (0.359, 0.641, 0.461)
Ca (0.439, 0.561, 0.750)
Ca (0.561, 0.439, 0.250)
Ca (0.641, 0.359, 0.539)
Ca (0.641, 0.359, 0.961)
Pd (0.079, 0.921, 0.086)
Pd (0.079, 0.921, 0.414)
Pd (0.254, 0.746, 0.250)
Pd (0.746, 0.254, 0.750)
Pd (0.921, 0.079, 0.586)
Pd (0.921, 0.079, 0.914)

---

First-principles (PBE) data for an optimized crystal structure of Li7Ca3Pd4, as listed in the Alexandria database.

Values from the calculation:
energy of formation from the pure elements: -0.39 eV/atom
total DFT energy (no corrections): -3.255 eV/atom
symmetry: C2/m (12)

abc: 8.232 8.232 10.164
angles: 125.51 125.51 29.91
Positions (direct):
Li (0.000, 0.000, 0.000)
Li (0.165, 0.165, 0.923)
Li (0.321, 0.321, 0.489)
Li (0.486, 0.486, 0.211)
Li (0.514, 0.514, 0.789)
Li (0.679, 0.679, 0.511)
Li (0.835, 0.835, 0.077)
Ca (0.000, 0.000, 0.500)
Ca (0.302, 0.302, 0.782)
Ca (0.698, 0.698, 0.218)
Pd (0.109, 0.109, 0.320)
Pd (0.338, 0.338, 0.244)
Pd (0.662, 0.662, 0.756)
Pd (0.891, 0.891, 0.680)

---

First-principles (PBE) data for an optimized crystal structure of LiCa4Pd5, as listed in the Alexandria database.

Values from the calculation:
energy of formation from the pure elements: -0.60 eV/atom
total DFT energy (no corrections): -4.184 eV/atom
symmetry: P4/mmm (123)

abc: 3.550 3.550 16.241
angles: 90.00 90.00 90.00
Positions (direct):
Li (0.000, 0.000, 0.000)
Ca (0.000, 0.000, 0.183)
Ca (0.000, 0.000, 0.394)
Ca (0.000, 0.000, 0.606)
Ca (0.000, 0.000, 0.817)
Pd (0.500, 0.500, 0.084)
Pd (0.500, 0.500, 0.288)
Pd (0.500, 0.500, 0.500)
Pd (0.500, 0.500, 0.712)
Pd (0.500, 0.500, 0.916)

---

First-principles (PBE) data for an optimized crystal structure of Li4CaPd4, as listed in the Alexandria database.

Values from the calculation:
energy of formation from the pure elements: -0.30 eV/atom
total DFT energy (no corrections): -3.684 eV/atom
symmetry: P4_2/n (86)

abc: 7.934 7.934 4.819
angles: 90.00 90.00 90.00
Positions (direct):
Li (0.006, 0.882, 0.183)
Li (0.118, 0.506, 0.683)
Li (0.382, 0.994, 0.683)
Li (0.494, 0.618, 0.183)
Li (0.506, 0.382, 0.817)
Li (0.618, 0.006, 0.317)
Li (0.882, 0.494, 0.317)
Li (0.994, 0.118, 0.817)
Ca (0.250, 0.250, 0.250)
Ca (0.750, 0.750, 0.750)
Pd (0.105, 0.837, 0.660)
Pd (0.163, 0.605, 0.160)
Pd (0.337, 0.895, 0.160)
Pd (0.395, 0.663, 0.660)
Pd (0.605, 0.337, 0.340)
Pd (0.663, 0.105, 0.840)
Pd (0.837, 0.395, 0.840)
Pd (0.895, 0.163, 0.340)

---

First-principles (PBE) data for an optimized crystal structure of Li2CaPd4, as listed in the Alexandria database.

Values from the calculation:
energy of formation from the pure elements: 0.41 eV/atom
total DFT energy (no corrections): -3.390 eV/atom
symmetry: I4/mmm (139)

abc: 7.294 7.294 7.294
angles: 140.59 140.59 56.96
Positions (direct):
Li (0.109, 0.109, 0.000)
Li (0.891, 0.891, 0.000)
Ca (0.500, 0.500, 0.000)
Pd (0.000, 0.500, 0.500)
Pd (0.297, 0.297, 0.000)
Pd (0.500, 0.000, 0.500)
Pd (0.703, 0.703, 0.000)

---

First-principles (PBE) data for an optimized crystal structure of Li3CaPd2, as listed in the Alexandria database.

Values from the calculation:
energy of formation from the pure elements: -0.42 eV/atom
relative energy among the computed polymorphs: 0 meV/atom
total DFT energy (no corrections): -3.446 eV/atom
symmetry: C2/m (12)

abc: 7.076 7.076 8.519
angles: 117.61 117.61 34.97
Positions (direct):
Li (0.054, 0.054, 0.385)
Li (0.279, 0.279, 0.452)
Li (0.418, 0.418, 0.311)
Li (0.582, 0.582, 0.689)
Li (0.721, 0.721, 0.548)
Li (0.946, 0.946, 0.615)
Ca (0.137, 0.137, 0.018)
Ca (0.863, 0.863, 0.982)
Pd (0.207, 0.207, 0.724)
Pd (0.434, 0.434, 0.808)
Pd (0.566, 0.566, 0.192)
Pd (0.793, 0.793, 0.276)

---

First-principles (PBE) data for an optimized crystal structure of Li2Ca2Pd, as listed in the Alexandria database.

Values from the calculation:
energy of formation from the pure elements: -0.24 eV/atom
relative energy among the computed polymorphs: 0 meV/atom
total DFT energy (no corrections): -2.847 eV/atom
symmetry: Immm (71)

abc: 6.001 6.001 6.001
angles: 133.74 128.53 71.68
Positions (direct):
Li (0.238, 0.000, 0.238)
Li (0.762, 0.000, 0.762)
Ca (0.312, 0.312, 0.000)
Ca (0.688, 0.688, 0.000)
Pd (0.000, 0.500, 0.500)

---

First-principles (PBE) data for an optimized crystal structure of Li2Ca3Pd4, as listed in the Alexandria database.

Values from the calculation:
energy of formation from the pure elements: -0.57 eV/atom
total DFT energy (no corrections): -3.971 eV/atom
symmetry: C2/m (12)

abc: 5.571 5.571 8.704
angles: 98.04 98.04 45.49
Positions (direct):
Li (0.182, 0.182, 0.283)
Li (0.818, 0.818, 0.717)
Ca (0.122, 0.122, 0.882)
Ca (0.500, 0.500, 0.500)
Ca (0.878, 0.878, 0.118)
Pd (0.224, 0.224, 0.591)
Pd (0.411, 0.411, 0.866)
Pd (0.589, 0.589, 0.134)
Pd (0.776, 0.776, 0.409)

---

First-principles (PBE) data for an optimized crystal structure of Li2Ca12Pd5, as listed in the Alexandria database.

Values from the calculation:
energy of formation from the pure elements: -0.35 eV/atom
total DFT energy (no corrections): -3.185 eV/atom
symmetry: C2/m (12)

abc: 7.915 7.915 11.008
angles: 91.71 91.71 58.83
Positions (direct):
Li (0.238, 0.762, 0.000)
Li (0.762, 0.238, 0.000)
Ca (0.003, 0.518, 0.843)
Ca (0.035, 0.035, 0.753)
Ca (0.134, 0.603, 0.502)
Ca (0.397, 0.866, 0.498)
Ca (0.482, 0.997, 0.157)
Ca (0.485, 0.485, 0.778)
Ca (0.515, 0.515, 0.222)
Ca (0.518, 0.003, 0.843)
Ca (0.603, 0.134, 0.502)
Ca (0.866, 0.397, 0.498)
Ca (0.965, 0.965, 0.247)
Ca (0.997, 0.482, 0.157)
Pd (0.000, 0.000, 0.500)
Pd (0.244, 0.244, 0.648)
Pd (0.371, 0.371, 0.011)
Pd (0.629, 0.629, 0.989)
Pd (0.756, 0.756, 0.352)

---

First-principles (PBE) data for an optimized crystal structure of LiCa3Pd4, as listed in the Alexandria database.

Values from the calculation:
energy of formation from the pure elements: -0.58 eV/atom
total DFT energy (no corrections): -4.167 eV/atom
symmetry: P4/mmm (123)

abc: 3.537 3.537 12.831
angles: 90.00 90.00 90.00
Positions (direct):
Li (0.000, 0.000, 0.000)
Ca (0.000, 0.000, 0.233)
Ca (0.000, 0.000, 0.500)
Ca (0.000, 0.000, 0.767)
Pd (0.500, 0.500, 0.106)
Pd (0.500, 0.500, 0.366)
Pd (0.500, 0.500, 0.634)
Pd (0.500, 0.500, 0.894)

---

First-principles (PBE) data for an optimized crystal structure of LiCa4Pd, as listed in the Alexandria database.

Values from the calculation:
energy of formation from the pure elements: -0.25 eV/atom
relative energy among the computed polymorphs: 0 meV/atom
total DFT energy (no corrections): -2.770 eV/atom
symmetry: C2/c (15)

abc: 8.337 8.337 6.285
angles: 100.78 100.78 111.66
Positions (direct):
Li (0.123, 0.877, 0.750)
Li (0.877, 0.123, 0.250)
Ca (0.138, 0.297, 0.866)
Ca (0.221, 0.566, 0.444)
Ca (0.297, 0.138, 0.366)
Ca (0.434, 0.779, 0.056)
Ca (0.566, 0.221, 0.944)
Ca (0.703, 0.862, 0.634)
Ca (0.779, 0.434, 0.556)
Ca (0.862, 0.703, 0.134)
Pd (0.500, 0.500, 0.250)
Pd (0.500, 0.500, 0.750)

---

First-principles (PBE) data for an optimized crystal structure of Li9CaPd2, as listed in the Alexandria database.

Values from the calculation:
energy of formation from the pure elements: -0.19 eV/atom
total DFT energy (no corrections): -2.661 eV/atom
symmetry: I4_1/amd (141)

abc: 8.661 8.661 8.661
angles: 99.92 99.92 130.95
Positions (direct):
Li (0.074, 0.248, 0.430)
Li (0.074, 0.644, 0.826)
Li (0.248, 0.074, 0.930)
Li (0.248, 0.318, 0.174)
Li (0.318, 0.248, 0.674)
Li (0.318, 0.644, 0.070)
Li (0.356, 0.682, 0.430)
Li (0.356, 0.926, 0.674)
Li (0.375, 0.625, 0.750)
Li (0.625, 0.375, 0.250)
Li (0.644, 0.074, 0.326)
Li (0.644, 0.318, 0.570)
Li (0.682, 0.356, 0.930)
Li (0.682, 0.752, 0.326)
Li (0.752, 0.682, 0.826)
Li (0.752, 0.926, 0.070)
Li (0.926, 0.356, 0.174)
Li (0.926, 0.752, 0.570)
Ca (0.125, 0.875, 0.250)
Ca (0.875, 0.125, 0.750)
Pd (0.000, 0.500, 0.500)
Pd (0.500, 0.000, 0.000)
Pd (0.500, 0.500, 0.000)
Pd (0.500, 0.500, 0.500)